First-principles (PBE-GGA) data for a relaxed structure of La4ErSe5, as listed in the Alexandria database.

a = 4.264 Å, b = 4.264 Å, c = 15.379 Å
α = 97.97°, β = 97.97°, γ = 90.00°
Positions (direct):
La: 0.400 0.400 0.799
La: 0.803 0.803 0.607
La: 0.197 0.197 0.393
La: 0.600 0.600 0.201
Er: 0.000 0.000 0.000
Se: 0.095 0.095 0.189
Se: 0.500 0.500 0.000
Se: 0.905 0.905 0.811
Se: 0.298 0.298 0.597
Se: 0.702 0.702 0.403

Summary:
energy relative to the lowest polymorph listed for this composition	12	meV/atom
volume	27.41	Å³ per atom
ρ	6.77	g/cm³
total magnetic moment	0.0	μB per cell
final energy	-6.087	eV/atom